Model A:
## SiTc2Br2 (GGA-PBE)

Data for an optimized crystal structure of SiTc2Br2.

abc: 6.329 6.329 5.021
angles: 90.00 90.00 90.00
Sites, in units of the cell vectors:
Br (0.313, 0.813, 0.500)
Br (0.687, 0.187, 0.500)
Br (0.187, 0.313, 0.500)
Br (0.813, 0.687, 0.500)
Si (0.000, 0.000, 0.000)
Si (0.500, 0.500, 0.000)
Tc (0.628, 0.128, 0.000)
Tc (0.372, 0.872, 0.000)
Tc (0.128, 0.372, 0.000)
Tc (0.872, 0.628, 0.000)

## Properties
**Total moment**: 0.0000 μB/atom

Model B:
## SiTc2Br2 (GGA-PBE)

Data for an optimized crystal structure of SiTc2Br2.

abc: 4.209 4.209 6.446
angles: 70.95 70.95 90.00
Sites, in units of the cell vectors:
Br (0.750, 0.250, 0.500)
Br (0.250, 0.750, 0.500)
Si (0.000, 0.000, 0.000)
Tc (0.404, 0.404, 0.191)
Tc (0.596, 0.596, 0.809)

## Properties
**Total moment**: 0.0000 μB/atom

Ranked by calculated energy, most stable first: model A, model B.

Model A:
## SiTcBr (GGA-PBE)

Data for an optimized crystal structure of SiTcBr.

abc: 6.375 6.375 6.375
angles: 151.34 151.34 40.98
Sites, in units of the cell vectors:
Br (0.034, 0.034, 0.000)
Tc (0.690, 0.690, 0.000)
Si (0.277, 0.277, 0.000)

## Properties
**Total moment**: 0.0001 μB/atom

Model B:
## SiTcBr (GGA-PBE)

Data for an optimized crystal structure of SiTcBr.

abc: 3.270 3.270 5.784
angles: 90.00 90.00 120.00
Sites, in units of the cell vectors:
Tc (0.333, 0.667, 0.631)
Br (0.000, 0.000, 0.989)
Si (0.667, 0.333, 0.380)

## Properties
**Total moment**: 0.0000 μB/atom

Ranked by calculated energy, most stable first: model B, model A.

Model A:
## SiTcBr (GGA-PBE)

Data for an optimized crystal structure of SiTcBr.

abc: 6.800 6.444 3.129
angles: 82.76 70.08 27.16
Sites, in units of the cell vectors:
Tc (0.678, 0.678, 0.322)
Br (0.005, 0.005, 0.995)
Si (0.316, 0.316, 0.684)

## Properties
**Total moment**: 0.0000 μB/atom

Model B:
## SiTcBr (GGA-PBE)

Data for an optimized crystal structure of SiTcBr.

abc: 4.294 4.294 4.294
angles: 60.00 60.00 60.00
Last column: magnetic moment on the atom in μB.
Sites, in units of the cell vectors:
Tc (0.000, 0.000, 0.000)  0.17
Si (0.750, 0.750, 0.750)  -0.01
Br (0.500, 0.500, 0.500)  0.00

## Properties
**Total moment**: 0.0629 μB/atom

Ranked by calculated energy, most stable first: model A, model B.

Model A:
## SiTcBr3 (GGA-PBE)

Data for an optimized crystal structure of SiTcBr3.

abc: 5.152 5.152 5.152
angles: 90.00 90.00 90.00
Last column: magnetic moment on the atom in μB.
Sites, in units of the cell vectors:
Tc (0.000, 0.000, 0.000)  2.31
Br (0.500, 0.000, 0.000)  0.07
Br (0.000, 0.500, 0.000)  0.03
Br (0.000, 0.000, 0.500)  0.04
Si (0.500, 0.500, 0.500)  0.35

## Properties
**Total moment**: 0.7759 μB/atom

Model B:
## SiTcBr3 (GGA-PBE)

Data for an optimized crystal structure of SiTcBr3.

abc: 5.274 5.274 5.274
angles: 90.00 90.00 90.00
Last column: magnetic moment on the atom in μB.
Sites, in units of the cell vectors:
Tc (0.500, 0.500, 0.500)  4.06
Br (0.000, 0.000, 0.500)  0.04
Br (0.000, 0.500, 0.000)  0.06
Br (0.500, 0.000, 0.000)  0.04
Si (0.000, 0.000, 0.000)  0.01

## Properties
**Total moment**: 1.0330 μB/atom

Ranked by calculated energy, most stable first: model A, model B.